1.
Entry from Alexandria via LeMat-Bulk: an optimized crystal structure of NaSbP2 (PBE).

Cell and atoms, written as POSCAR:
```
NaSbP2
1.0
1.887 1.090 7.330
-1.887 1.090 7.330
0.000 -2.179 7.330
Na Sb P
1 1 2
Cartesian
0.000 0.000 0.000 Na
0.000 0.000 10.995 Sb
0.000 0.000 5.224 P
0.000 0.000 16.765 P
```

Summary:
VASP energy	-4.03	eV/atom

***

2.
Entry from Alexandria via LeMat-Bulk: an optimized crystal structure of AcPm8Tm4 (PBE).

Cell and atoms, written as POSCAR:
```
AcPm8Tm4
1.0
3.671 2.119 9.641
-3.671 2.119 9.641
0.000 -4.239 9.641
Ac Pm Tm
1 8 4
Cartesian
0.000 0.000 0.000 Ac
0.000 -1.886 11.721 Pm
-1.633 0.943 11.721 Pm
0.000 0.000 8.278 Pm
-1.633 -0.943 17.203 Pm
1.633 0.943 11.721 Pm
0.000 0.000 20.646 Pm
1.633 -0.943 17.203 Pm
0.000 1.886 17.203 Pm
-3.671 0.000 14.462 Tm
-1.836 1.060 4.821 Tm
1.836 1.060 4.821 Tm
0.000 0.000 14.462 Tm
```

Summary:
VASP energy	-4.37	eV/atom
ΔE_f	244	meV/atom

***

3.
Entry from Alexandria via LeMat-Bulk: an optimized crystal structure of La2Pm3Dy3 (PBE).

Cell and atoms, written as POSCAR:
```
La2Pm3Dy3
1.0
1.818 -8.868 0.000
1.818 8.868 0.000
0.000 0.000 17.180
La Pm Dy
4 6 6
Cartesian
1.818 4.955 11.188 La
1.818 4.955 14.582 La
1.818 -4.955 2.598 La
1.818 -4.955 5.992 La
1.818 2.578 8.797 Pm
1.818 2.578 16.972 Pm
1.818 1.902 12.885 Pm
1.818 -1.902 4.295 Pm
1.818 -2.578 0.207 Pm
1.818 -2.578 8.382 Pm
1.818 8.782 10.319 Dy
1.818 8.782 15.451 Dy
1.818 1.407 4.295 Dy
1.818 -1.407 12.885 Dy
1.818 -8.782 1.729 Dy
1.818 -8.782 6.861 Dy
```

Summary:
VASP energy	-4.62	eV/atom
ΔE_f	121	meV/atom